{
  "formula": "MgTcBr2",
  "functional": "PBE",
  "state": "relaxed",
  "cell": [[11.111, 0.530, 0.315], [10.379, 4.002, 0.315], [10.379, 2.189, 3.365]],
  "species": ["Tc", "Mg", "Br", "Br"],
  "frac_coords": [[0.750, 0.750, 0.750], [0.250, 0.250, 0.250], [0.966, 0.966, 0.966], [0.534, 0.534, 0.534]],
  "magmom_total_mub_per_cell": 4.1,
  "e_form_raw_ev_per_fu": 0.7,
  "crystal_system": "trigonal",
  "vol_a3_per_fu": 119.3,
  "sg": "R-3m (166)"
}